Computed, not measured: a relaxed structure of U5ReTc at the PBE-GGA level of DFT.

a b c (Å): 5.4527 7.3937 7.3937
angles (deg): 85.97 105.50 105.50
Closest atoms and distances in Å follow each position.
Fractional coordinates of all 14 atoms:
U 0.2500 0.7423 0.2577  2 U 2.64, 2 Tc 2.93
U 0.7500 0.2577 0.7423  2 U 2.64, 2 Tc 2.93
U 0.3535 0.3292 0.0082  3 U 2.61-2.87, 2 Tc 2.66-2.77
U 0.5313 0.1923 0.3805  3 U 2.61-2.87, 1 Re 2.92
U 0.9687 0.6195 0.8077  3 U 2.61-2.87, 1 Re 2.92
U 0.6465 0.6708 0.9918  3 U 2.61-2.87, 2 Tc 2.66-2.77
U 0.4687 0.8077 0.6195  3 U 2.61-2.87, 1 Re 2.92
U 0.1465 0.9918 0.6708  3 U 2.61-2.87, 2 Tc 2.66-2.77
U 0.8535 0.0082 0.3292  3 U 2.61-2.87, 2 Tc 2.66-2.77
U 0.0313 0.3805 0.1923  3 U 2.61-2.87, 1 Re 2.92
Re 0.2500 0.4016 0.5984  8 U 2.92-3.21
Re 0.7500 0.5984 0.4016  8 U 2.92-3.21
Tc 0.5000 0.0000 0.0000  6 U 2.66-2.93, 2 Tc 2.73
Tc 0.0000 0.0000 0.0000  6 U 2.66-2.93, 2 Tc 2.73

Summary:
**E_tot**: -11.2016 eV per atom
**Space group**: No. 15
**ΔH_f (0 K)**: 81 kJ/mol of formula units
**Calculated volume**: 138.4 Å³/f.u.